Record 1
Density functional theory data (GGA-PBE) for a relaxed structure of InOsPtBr2.

Cell lengths 5.333, 5.333, 5.276 Å; angles 90.00, 90.00, 90.00 degrees
Fractional positions:
In1 0.000 0.000 0.000
Os1 0.500 0.500 0.500
Pt1 0.000 0.000 0.500
Br1 0.000 0.500 0.000
Br2 0.500 0.000 0.000

Properties
Calculated density   7.30 g/cm3
Final energy   -3.123 eV/atom
E_form (uncorrected)   1.55 eV per atom
N(E_F)   4.36 states/eV/cell


Record 2
Density functional theory data (GGA-PBE) for a relaxed structure of Ca2Cu3Ge4Au.

Cell lengths 4.219, 4.219, 10.449 Å; angles 90.00, 90.00, 90.00 degrees
Fractional positions:
Ca1 0.000 0.500 0.249
Ca2 0.500 0.000 0.751
Cu1 0.000 0.500 0.872
Cu2 0.500 0.000 0.128
Cu3 0.500 0.500 0.500
Ge1 0.000 0.000 0.000
Ge2 0.000 0.500 0.643
Ge3 0.500 0.000 0.357
Ge4 0.500 0.500 0.000
Au1 0.000 0.000 0.500

Properties
Calculated density   6.77 g/cm3
Final energy   -4.171 eV/atom
N(E_F)   3.13 states/eV/cell


Record 3
Density functional theory data (GGA-PBE) for a relaxed structure of LuHfZnPd.

Cell lengths 4.798, 4.798, 4.798 Å; angles 60.00, 60.00, 60.00 degrees
Fractional positions:
Lu1 0.000 0.000 0.000
Hf1 0.500 0.500 0.500
Zn1 0.750 0.750 0.750
Pd1 0.250 0.250 0.250

Properties
Calculated density   11.17 g/cm3
Final energy   -5.690 eV/atom
N(E_F)   4.49 states/eV/cell